Material: Y2BeSi
Method: DFT, PBE
State: optimized geometry

Density of states at the Fermi level: 3.7 states/eV/f.u.
ΔE_f (raw): -0.46 eV per atom
ΔE to the lowest computed polymorph: 2.8 kJ/mol of atoms
SG: No. 160

```
Y2BeSi
1.0
1.9092 1.1023 7.1170
-1.9092 1.1023 7.1170
0.0000 -2.2046 7.1170
Y Be Si
2 1 1
direct
0.0000 0.0000 0.0000
0.1878 0.1878 0.1878
0.7635 0.7635 0.7635
0.4260 0.4260 0.4260
```